DFT (GGA-PBE) results for an optimized crystal structure of NaBSbO5.

Geometry as CIF:
```
data_NaBSbO5
_chemical_formula_sum 'Na4 B4 Sb4 O20'
_cell_length_a 6.6151
_cell_length_b 8.6108
_cell_length_c 7.0576
_cell_angle_alpha 90.00
_cell_angle_beta 117.13
_cell_angle_gamma 90.00
_space_group_name_H-M_alt 'C 1 2/c 1'
_space_group_IT_number 15
_space_group_name_Hall '-C 2yc'
loop_
_atom_site_label
_atom_site_fract_x
_atom_site_fract_y
_atom_site_fract_z
Na1 0.0000 0.0901 0.2500
B1 0.0000 0.4509 0.2500
Sb1 0.2500 0.2500 0.0000
O1 0.0000 0.1602 0.7500
O2 0.0183 0.3307 0.1024
O3 0.2106 0.4584 0.8627
```

Calculated values
The calculation puts the uncorrected formation energy at -151.9 kJ per mole of atoms.

***

DFT (GGA-PBE) results for an optimized crystal structure of NaScB2O5.

Geometry as CIF:
```
data_NaScB2O5
_chemical_formula_sum 'Na4 Sc4 B8 O20'
_cell_length_a 7.3123
_cell_length_b 9.8881
_cell_length_c 6.0260
_cell_angle_alpha 90.00
_cell_angle_beta 108.41
_cell_angle_gamma 90.00
_space_group_name_H-M_alt 'P 1 21/c 1'
_space_group_IT_number 14
_space_group_name_Hall '-P 2ybc'
loop_
_atom_site_label
_atom_site_fract_x
_atom_site_fract_y
_atom_site_fract_z
Na1 0.2248 0.0771 0.2006
Sc1 0.2461 0.6719 0.2776
B1 0.0875 0.1196 0.6772
B2 0.4426 0.0991 0.7554
O1 0.0700 0.7022 0.9204
O2 0.0766 0.5015 0.2788
O3 0.2673 0.1735 0.6765
O4 0.3894 0.6724 0.6514
O5 0.4444 0.5370 0.2342
```

Calculated values
The calculation puts the uncorrected formation energy at -261.3 kJ per mole of atoms.

***

DFT (GGA-PBE) results for an optimized crystal structure of NaScBO2.

Geometry as CIF:
```
data_NaScBO2
_chemical_formula_sum 'Na1 Sc1 B1 O2'
_cell_length_a 4.0361
_cell_length_b 4.0361
_cell_length_c 3.9328
_cell_angle_alpha 90.00
_cell_angle_beta 90.00
_cell_angle_gamma 90.00
_space_group_name_H-M_alt 'P 4/m m m'
_space_group_IT_number 123
_space_group_name_Hall '-P 4 2'
loop_
_atom_site_label
_atom_site_fract_x
_atom_site_fract_y
_atom_site_fract_z
Na1 0.0000 0.0000 0.0000
Sc1 0.5000 0.5000 0.5000
B1 0.0000 0.0000 0.5000
O1 0.0000 0.5000 0.0000
```

Calculated values
The calculation puts the uncorrected formation energy at 24.9 kJ per mole of atoms.

***

DFT (GGA-PBE) results for an optimized crystal structure of Na2ScB2O6.

Geometry as CIF:
```
data_Na2ScB2O6
_chemical_formula_sum 'Na2 Sc1 B2 O6'
_cell_length_a 5.2249
_cell_length_b 5.2249
_cell_length_c 5.9853
_cell_angle_alpha 90.00
_cell_angle_beta 90.00
_cell_angle_gamma 120.00
_space_group_name_H-M_alt 'P -3'
_space_group_IT_number 147
_space_group_name_Hall '-P 3'
loop_
_atom_site_label
_atom_site_fract_x
_atom_site_fract_y
_atom_site_fract_z
Na1 0.3333 0.6667 0.3197
Sc1 0.0000 0.0000 0.0000
B1 0.3333 0.6667 0.7994
O1 0.1233 0.3720 0.7927
```

Calculated values
The calculation puts the uncorrected formation energy at -226.5 kJ per mole of atoms.

***

DFT (GGA-PBE) results for an optimized crystal structure of NaSc3B4O12.

Geometry as CIF:
```
data_NaSc3B4O12
_chemical_formula_sum 'Na3 Sc9 B12 O36'
_cell_length_a 9.9048
_cell_length_b 9.9048
_cell_length_c 8.1719
_cell_angle_alpha 90.00
_cell_angle_beta 90.00
_cell_angle_gamma 120.00
_space_group_name_H-M_alt 'R 3 2'
_space_group_IT_number 155
_space_group_name_Hall 'R 3 2"'
loop_
_atom_site_label
_atom_site_fract_x
_atom_site_fract_y
_atom_site_fract_z
Na1 0.0000 0.0000 0.0000
Sc1 0.0000 0.5512 0.0000
B1 0.0000 0.0000 0.5000
B2 0.0000 0.4507 0.5000
O1 0.0000 0.5901 0.5000
O2 0.0000 0.8601 0.5000
O3 0.0200 0.2175 0.1911
```

Calculated values
The calculation puts the uncorrected formation energy at -254.5 kJ per mole of atoms.

***

DFT (GGA-PBE) results for an optimized crystal structure of Na3Sc2B3O9.

Geometry as CIF:
```
data_Na3Sc2B3O9
_chemical_formula_sum 'Na18 Sc12 B18 O54'
_cell_length_a 8.6777
_cell_length_b 8.6777
_cell_length_c 20.1384
_cell_angle_alpha 90.00
_cell_angle_beta 90.00
_cell_angle_gamma 120.00
_space_group_name_H-M_alt 'R -3 c'
_space_group_IT_number 167
_space_group_name_Hall '-R 3 2"c'
loop_
_atom_site_label
_atom_site_fract_x
_atom_site_fract_y
_atom_site_fract_z
Na1 0.9999 0.3333 0.0833
Sc1 0.0000 0.0000 0.1720
B1 0.0000 0.3398 0.2500
O1 0.0000 0.1794 0.2500
O2 0.0287 0.2181 0.6240
```

Calculated values
The calculation puts the uncorrected formation energy at -255.7 kJ per mole of atoms.

***

DFT (GGA-PBE) results for an optimized crystal structure of Na3B2SeO6.

Geometry as CIF:
```
data_Na3B2SeO6
_chemical_formula_sum 'Na3 B2 Se1 O6'
_cell_length_a 5.1988
_cell_length_b 5.1988
_cell_length_c 6.4335
_cell_angle_alpha 90.00
_cell_angle_beta 90.00
_cell_angle_gamma 120.00
_space_group_name_H-M_alt 'P -3 m 1'
_space_group_IT_number 164
_space_group_name_Hall '-P 3 2"'
loop_
_atom_site_label
_atom_site_fract_x
_atom_site_fract_y
_atom_site_fract_z
Na1 0.0000 0.0000 0.0000
Na2 0.3333 0.6667 0.7568
B1 0.3333 0.6667 0.2722
Se1 0.0000 0.0000 0.5000
O1 0.1792 0.3584 0.2642
```

Calculated values
The calculation puts the uncorrected formation energy at -152.0 kJ per mole of atoms.

***

DFT (GGA-PBE) results for an optimized crystal structure of Na2BSeO4.

Geometry as CIF:
```
data_Na2BSeO4
_chemical_formula_sum 'Na4 B2 Se2 O8'
_cell_length_a 5.5706
_cell_length_b 5.5706
_cell_length_c 5.9167
_cell_angle_alpha 90.00
_cell_angle_beta 90.00
_cell_angle_gamma 90.00
_space_group_name_H-M_alt 'I -4'
_space_group_IT_number 82
_space_group_name_Hall 'I -4'
loop_
_atom_site_label
_atom_site_fract_x
_atom_site_fract_y
_atom_site_fract_z
Na1 0.0000 0.0000 0.0000
Na2 0.0000 0.5000 0.2500
B1 0.0000 0.0000 0.5000
Se1 0.0000 0.5000 0.7500
O1 0.1360 0.8286 0.6506
```

Calculated values
The calculation puts the uncorrected formation energy at -134.5 kJ per mole of atoms.

***

DFT (GGA-PBE) results for an optimized crystal structure of NaSiBO4.

Geometry as CIF:
```
data_NaSiBO4
_chemical_formula_sum 'Na12 Si12 B12 O48'
_cell_length_a 8.0804
_cell_length_b 7.7970
_cell_length_c 16.2558
_cell_angle_alpha 90.00
_cell_angle_beta 119.70
_cell_angle_gamma 90.00
_space_group_name_H-M_alt 'P 1 21/c 1'
_space_group_IT_number 14
_space_group_name_Hall '-P 2ybc'
loop_
_atom_site_label
_atom_site_fract_x
_atom_site_fract_y
_atom_site_fract_z
Na1 0.0022 0.0145 0.2496
Na2 0.2938 0.0344 0.0670
Na3 0.3600 0.0278 0.5864
Si1 0.0246 0.7011 0.9186
Si2 0.3187 0.7080 0.7385
Si3 0.3381 0.2016 0.9072
B1 0.0183 0.1740 0.4183
B2 0.3189 0.1727 0.2401
B3 0.3418 0.6745 0.4096
O1 0.0659 0.2453 0.5129
O2 0.0980 0.5025 0.9314
O3 0.1123 0.2204 0.8777
O4 0.1367 0.2320 0.6927
O5 0.1905 0.6704 0.1461
O6 0.2095 0.6740 0.4482
O7 0.2580 0.7256 0.8208
O8 0.2779 0.5074 0.7033
O9 0.3739 0.0034 0.8872
O10 0.3938 0.1730 0.3435
O11 0.4545 0.2475 0.2137
O12 0.4705 0.2504 0.0201
```

Calculated values
The calculation puts the uncorrected formation energy at -242.8 kJ per mole of atoms.

***

DFT (GGA-PBE) results for an optimized crystal structure of Na2SiBO4.

Geometry as CIF:
```
data_Na2SiBO4
_chemical_formula_sum 'Na16 Si8 B8 O32'
_cell_length_a 4.3360
_cell_length_b 13.6906
_cell_length_c 18.5962
_cell_angle_alpha 90.00
_cell_angle_beta 90.00
_cell_angle_gamma 90.00
_space_group_name_H-M_alt 'F d d d'
_space_group_IT_number 70
loop_
_space_group_symop_operation_xyz
'x,y,z'
'-x,-y,-z'
'-x+1/4,-y+1/4,z'
'x+1/4,y+1/4,-z'
'x,-y+1/4,-z+1/4'
'-x,y+1/4,z+1/4'
'-x+1/4,y,-z+1/4'
'x+1/4,-y,z+1/4'
'x,y+1/2,z+1/2'
'-x,-y+1/2,-z+1/2'
'-x+1/4,-y+3/4,z+1/2'
'x+1/4,y+3/4,-z+1/2'
'x,-y+3/4,-z+3/4'
'-x,y+3/4,z+3/4'
'-x+1/4,y+1/2,-z+3/4'
'x+1/4,-y+1/2,z+3/4'
'x+1/2,y,z+1/2'
'-x+1/2,-y,-z+1/2'
'-x+3/4,-y+1/4,z+1/2'
'x+3/4,y+1/4,-z+1/2'
'x+1/2,-y+1/4,-z+3/4'
'-x+1/2,y+1/4,z+3/4'
'-x+3/4,y,-z+3/4'
'x+3/4,-y,z+3/4'
'x+1/2,y+1/2,z'
'-x+1/2,-y+1/2,-z'
'-x+3/4,-y+3/4,z'
'x+3/4,y+3/4,-z'
'x+1/2,-y+3/4,-z+1/4'
'-x+1/2,y+3/4,z+1/4'
'-x+3/4,y+1/2,-z+1/4'
'x+3/4,-y+1/2,z+1/4'
loop_
_atom_site_label
_atom_site_fract_x
_atom_site_fract_y
_atom_site_fract_z
Na1 0.1250 0.1250 0.2924
Si1 0.1250 0.1250 0.1250
B1 0.1250 0.1250 0.6250
O1 0.1015 0.3177 0.8293
```

Calculated values
The calculation puts the uncorrected formation energy at -179.2 kJ per mole of atoms.

***

DFT (GGA-PBE) results for an optimized crystal structure of NaSiBO4.

Geometry as CIF:
```
data_NaSiBO4
_chemical_formula_sum 'Na6 Si6 B6 O24'
_cell_length_a 8.1380
_cell_length_b 8.1380
_cell_length_c 7.7935
_cell_angle_alpha 90.00
_cell_angle_beta 90.00
_cell_angle_gamma 120.00
_space_group_name_H-M_alt 'P 63'
_space_group_IT_number 173
_space_group_name_Hall 'P 6c'
loop_
_atom_site_label
_atom_site_fract_x
_atom_site_fract_y
_atom_site_fract_z
Na1 0.0000 0.0000 0.0000
Na2 0.3333 0.6667 0.0349
Na3 0.3333 0.6667 0.4720
Si1 0.0207 0.6818 0.7824
B1 0.0171 0.6791 0.1626
O1 0.0718 0.5434 0.2357
O2 0.0891 0.7221 0.9828
O3 0.1138 0.8595 0.2594
O4 0.1900 0.3992 0.6639
```

Calculated values
The calculation puts the uncorrected formation energy at -242.0 kJ per mole of atoms.

***

DFT (GGA-PBE) results for an optimized crystal structure of Na3SiSnBO7.

Geometry as CIF:
```
data_Na3SiSnBO7
_chemical_formula_sum 'Na6 Si2 Sn2 B2 O14'
_cell_length_a 5.3775
_cell_length_b 6.7655
_cell_length_c 9.1020
_cell_angle_alpha 90.00
_cell_angle_beta 91.96
_cell_angle_gamma 90.00
_space_group_name_H-M_alt 'P 1 21/m 1'
_space_group_IT_number 11
_space_group_name_Hall '-P 2yb'
loop_
_atom_site_label
_atom_site_fract_x
_atom_site_fract_y
_atom_site_fract_z
Na1 0.2343 0.2500 0.0818
Na2 0.2541 0.5069 0.7522
Si1 0.2802 0.2500 0.4255
Sn1 0.2171 0.7500 0.3404
B1 0.2795 0.7500 0.0615
O1 0.0423 0.7500 0.1240
O2 0.1378 0.2500 0.5818
O3 0.2048 0.0590 0.3216
O4 0.3218 0.7500 0.9170
O5 0.4144 0.7500 0.5382
O6 0.4744 0.7500 0.1720
```

Calculated values
The calculation puts the uncorrected formation energy at -209.0 kJ per mole of atoms.